Entry 1:
Density functional theory data (GGA-PBE) for an optimized crystal structure of LaSmSb.

Lattice parameters (Å, degrees): 4.7598 4.7598 9.5786 73.29 73.29 72.98
Closest atoms and distances in Å follow each position.
Element x y z (fractional)
Sb 0.0117 0.0117 0.2422  4 Sm 3.05-3.26, 4 La 3.13-3.37
Sb 0.9883 0.9883 0.7578  4 Sm 3.05-3.26, 4 La 3.13-3.37
La 0.6993 0.6993 0.5949  4 Sb 3.13-3.37, 2 La 3.30, 1 Sm 3.39
La 0.3007 0.3007 0.4051  4 Sb 3.13-3.37, 2 La 3.30, 1 Sm 3.39
Sm 0.7071 0.7071 0.1055  4 Sb 3.05-3.26, 1 La 3.39, 2 Sm 3.40
Sm 0.2929 0.2929 0.8945  4 Sb 3.05-3.26, 1 La 3.39, 2 Sm 3.40

Properties
E_tot	-5.20	eV per atom
SG	No. 12
E_form (uncorrected)	-175	kJ/mol of formula units
Fermi-level density of states	7.0	states/eV per cell

Entry 2:
Density functional theory data (GGA-PBE) for an optimized crystal structure of Tb6NdY8.

Lattice parameters (Å, degrees): 9.0800 9.0800 8.6751 58.44 58.44 60.00
Closest atoms and distances in Å follow each position.
Element x y z (fractional)
Y 0.2548 0.2805 0.5752  3 Tb 3.42-3.76, 5 Y 3.42-3.44, 1 Nd 3.54
Y 0.4232 0.4232 0.7304  4 Y 3.18-3.43, 3 Tb 3.38
Y 0.5768 0.5768 0.2696  4 Y 3.18-3.43, 3 Tb 3.38
Y 0.7452 0.7195 0.4248  3 Tb 3.42-3.76, 5 Y 3.42-3.44, 1 Nd 3.54
Y 0.8896 0.2548 0.5752  3 Tb 3.42-3.76, 5 Y 3.42-3.44, 1 Nd 3.54
Y 0.7195 0.1104 0.4248  3 Tb 3.42-3.76, 5 Y 3.42-3.44, 1 Nd 3.54
Y 0.2805 0.8896 0.5752  3 Tb 3.42-3.76, 5 Y 3.42-3.44, 1 Nd 3.54
Y 0.1104 0.7452 0.4248  3 Tb 3.42-3.76, 5 Y 3.42-3.44, 1 Nd 3.54
Tb 0.8914 0.7703 0.8768  4 Y 3.38-3.76, 1 Nd 3.46, 4 Tb 3.49-3.76
Tb 0.1086 0.2297 0.1232  4 Y 3.38-3.76, 1 Nd 3.46, 4 Tb 3.49-3.76
Tb 0.2297 0.5385 0.1232  4 Y 3.38-3.76, 1 Nd 3.46, 4 Tb 3.49-3.76
Tb 0.7703 0.4615 0.8768  4 Y 3.38-3.76, 1 Nd 3.46, 4 Tb 3.49-3.76
Tb 0.5385 0.1086 0.1232  4 Y 3.38-3.76, 1 Nd 3.46, 4 Tb 3.49-3.76
Tb 0.4615 0.8914 0.8768  4 Y 3.38-3.76, 1 Nd 3.46, 4 Tb 3.49-3.76
Nd 0.0000 0.0000 0.0000  6 Tb 3.46, 6 Y 3.54

Properties
formation energy from the elements	3.010	kcal/mol of atoms
E_tot	-5.49	eV per atom
SG	No. 148
Fermi-level density of states	23.1	states/eV per cell

Entry 3:
Density functional theory data (GGA-PBE) for an optimized crystal structure of NiBiI6.

Lattice parameters (Å, degrees): 7.1950 7.1939 7.8148 62.58 62.56 59.97
Closest atoms and distances in Å follow each position.
Element x y z (fractional)
Bi 0.5000 0.5000 0.5000  6 I 3.14
I 0.3923 0.7793 0.7684  1 Ni 2.69
I 0.2206 0.9401 0.2316  1 Ni 2.69
I 0.6076 0.2207 0.2316  1 Ni 2.69
I 0.0599 0.3924 0.7684  1 Ni 2.69
I 0.9401 0.6076 0.2316  1 Ni 2.69
I 0.7794 0.0599 0.7684  1 Ni 2.69
Ni 0.0000 0.0000 0.0000  6 I 2.69

Properties
E_tot	-2.50	eV per atom
SG	No. 148
E_form (uncorrected)	-99	kJ/mol of formula units
Fermi-level density of states	6.1	states/eV per cell

Entry 4:
Density functional theory data (GGA-PBE) for an optimized crystal structure of Ac4La5Pr2.

Lattice parameters (Å, degrees): 3.7705 12.5052 9.5380 94.53 101.40 90.00
Closest atoms and distances in Å follow each position.
Element x y z (fractional)
La 0.8237 0.9325 0.6475  4 Ac 3.64-3.87, 6 La 3.77-3.84
La 0.5000 0.0000 0.0000  6 La 3.77-3.83, 6 Ac 3.79-3.84
La 0.0952 0.5385 0.1904  4 Ac 3.54-3.80, 3 La 3.61-3.77, 3 Pr 3.62-3.77
La 0.9048 0.4615 0.8096  4 Ac 3.54-3.80, 3 La 3.61-3.77, 3 Pr 3.62-3.77
La 0.1763 0.0675 0.3525  4 Ac 3.64-3.87, 6 La 3.77-3.84
Pr 0.7168 0.3652 0.4337  3 La 3.62-3.77, 4 Pr 3.77-3.97, 4 Ac 3.92
Pr 0.2832 0.6348 0.5663  3 La 3.62-3.77, 4 Pr 3.77-3.97, 4 Ac 3.92
Ac 0.6439 0.7980 0.2878  6 La 3.64-3.87, 4 Ac 3.77-3.95, 2 Pr 3.92
Ac 0.3561 0.2020 0.7122  6 La 3.64-3.87, 4 Ac 3.77-3.95, 2 Pr 3.92
Ac 0.9592 0.7393 0.9184  5 La 3.54-3.79, 4 Ac 3.77-3.95, 2 Pr 3.92
Ac 0.0408 0.2607 0.0816  5 La 3.54-3.79, 4 Ac 3.77-3.95, 2 Pr 3.92

Properties
formation energy from the elements	1.895	kcal/mol of atoms
E_tot	-4.52	eV per atom
SG	No. 12
Fermi-level density of states	19.3	states/eV per cell

Entry 5:
Density functional theory data (GGA-PBE) for an optimized crystal structure of Sb2PdI.

Lattice parameters (Å, degrees): 5.1976 5.1976 5.1976 60.00 60.00 60.00
Closest atoms and distances in Å follow each position.
Element x y z (fractional)
Sb 0.2500 0.2500 0.2500  4 I 3.18, 4 Pd 3.18
Sb 0.7500 0.7500 0.7500  4 Pd 3.18, 4 I 3.18
Pd 0.0000 0.0000 0.0000  8 Sb 3.18
I 0.5000 0.5000 0.5000  8 Sb 3.18

Properties
E_tot	-3.33	eV per atom
SG	No. 225
E_form (uncorrected)	159	kJ/mol of formula units
relative energy among the computed polymorphs	656	meV per atom
Fermi-level density of states	3.0	states/eV per cell

Entry 6:
Density functional theory data (GGA-PBE) for an optimized crystal structure of HgAs2Ru.

Lattice parameters (Å, degrees): 5.9049 5.9049 7.1241 65.52 65.52 90.00
Closest atoms and distances in Å follow each position.
Element x y z (fractional)
Ru 0.5000 0.5000 0.0000  4 As 2.35
Ru 0.2500 0.7500 0.5000  4 As 2.35
As 0.1851 0.6250 0.2500  2 Ru 2.35
As 0.8750 0.8149 0.7500  2 Ru 2.35
As 0.5649 0.1250 0.2500  2 Ru 2.35
As 0.3750 0.4351 0.7500  2 Ru 2.35
Hg 0.0000 0.0000 0.0000  4 As 2.76
Hg 0.7500 0.2500 0.5000  4 As 2.76

Properties
formation energy from the elements	4.159	kcal/mol of atoms
E_tot	-4.54	eV per atom
SG	No. 122
Fermi-level density of states	3.5	states/eV per cell

Entry 7:
Density functional theory data (GGA-PBE) for an optimized crystal structure of MgMn2Ir.

Lattice parameters (Å, degrees): 8.9943 8.9943 8.9943 17.72 17.72 17.72
Closest atoms and distances in Å follow each position.
Element x y z (fractional)
Mn 0.9953 0.9953 0.9953  3 Ir 2.63, 6 Mn 2.77, 3 Mg 2.83
Mn 0.5047 0.5047 0.5047  3 Ir 2.63, 6 Mn 2.77, 3 Mg 2.83
Mg 0.7500 0.7500 0.7500  6 Mg 2.77, 6 Mn 2.83
Ir 0.2500 0.2500 0.2500  6 Mn 2.63, 6 Ir 2.77

Properties
formation energy from the elements	4.853	kcal/mol of atoms
E_tot	-6.99	eV per atom
SG	No. 166
Fermi-level density of states	3.7	states/eV per cell

Entry 8:
Density functional theory data (GGA-PBE) for an optimized crystal structure of Ba2CoP.

Lattice parameters (Å, degrees): 5.2567 5.2567 5.2567 60.00 60.00 60.00
Closest atoms and distances in Å follow each position.
Element x y z (fractional)
Ba 0.2500 0.2500 0.2500  4 Ba 3.22, 4 Co 3.22
Ba 0.0000 0.0000 0.0000  4 Ba 3.22, 4 P 3.22
Co 0.5000 0.5000 0.5000  4 Ba 3.22, 4 P 3.22
P 0.7500 0.7500 0.7500  4 Ba 3.22, 4 Co 3.22

Properties
formation energy from the elements	8.114	kcal/mol of atoms
E_tot	-3.74	eV per atom
SG	No. 216
Fermi-level density of states	5.4	states/eV per cell

Entry 9:
Density functional theory data (GGA-PBE) for an optimized crystal structure of TbAl3NiPd.

Lattice parameters (Å, degrees): 5.6741 6.1130 6.8422 116.53 90.00 90.00
Closest atoms and distances in Å follow each position.
Element x y z (fractional)
Ni 0.7500 0.0656 0.1312  5 Al 2.39-2.51, 1 Tb 2.57
Ni 0.2500 0.9344 0.8688  5 Al 2.39-2.51, 1 Tb 2.57
Al 0.7500 0.8604 0.7208  1 Ni 2.51, 1 Pd 2.59
Al 0.5000 0.2862 0.0000  2 Ni 2.39, 1 Al 2.61, 2 Pd 2.65
Al 0.0000 0.7138 0.0000  2 Ni 2.39, 1 Al 2.61, 2 Pd 2.65
Al 0.2500 0.1396 0.2792  1 Ni 2.51, 1 Pd 2.59
Al 0.0000 0.2862 0.0000  2 Ni 2.39, 1 Al 2.61, 2 Pd 2.65
Al 0.5000 0.7138 0.0000  2 Ni 2.39, 1 Al 2.61, 2 Pd 2.65
Tb 0.2500 0.7242 0.4484  1 Ni 2.57
Tb 0.7500 0.2758 0.5516  1 Ni 2.57
Pd 0.2500 0.3511 0.7022  5 Al 2.59-2.65
Pd 0.7500 0.6489 0.2978  5 Al 2.59-2.65

Properties
formation energy from the elements	-12.699	kcal/mol of atoms
E_tot	-5.02	eV per atom
SG	No. 63
Fermi-level density of states	5.3	states/eV per cell

Entry 10:
Density functional theory data (GGA-PBE) for an optimized crystal structure of RbLa2Zn2.

Lattice parameters (Å, degrees): 5.5628 5.5628 6.9156 66.28 66.28 90.00
Closest atoms and distances in Å follow each position.
Element x y z (fractional)
Zn 0.2500 0.7500 0.5000  4 La 3.05
Zn 0.7500 0.2500 0.5000  4 La 3.05
La 0.6392 0.6392 0.7217  4 Zn 3.05, 1 La 3.17
La 0.3608 0.3608 0.2783  4 Zn 3.05, 1 La 3.17
Rb 0.0000 0.0000 0.0000  8 Zn 3.98, 10 La 4.10-4.24

Properties
formation energy from the elements	5.892	kcal/mol of atoms
E_tot	-2.42	eV per atom
SG	No. 139
relative energy among the computed polymorphs	225	meV per atom
Fermi-level density of states	6.3	states/eV per cell

Entry 11:
Density functional theory data (GGA-PBE) for an optimized crystal structure of Pm2SmTl3.

Lattice parameters (Å, degrees): 3.7494 6.7911 14.7940 90.00 97.28 90.00
Closest atoms and distances in Å follow each position.
Element x y z (fractional)
Pm 0.1512 0.7500 0.3024  6 Tl 3.27-3.31
Pm 0.9940 0.7500 0.9880  8 Tl 3.30-3.47, 2 Pm 3.41
Pm 0.0060 0.2500 0.0120  8 Tl 3.30-3.47, 2 Pm 3.41
Pm 0.8488 0.2500 0.6976  6 Tl 3.27-3.31
Tl 0.4234 0.4902 0.8468  1 Sm 3.24, 2 Tl 3.26-3.53, 6 Pm 3.30-3.47
Tl 0.5766 0.5098 0.1532  1 Sm 3.24, 2 Tl 3.26-3.53, 6 Pm 3.30-3.47
Tl 0.2574 0.2500 0.5148  2 Sm 3.20, 2 Pm 3.27
Tl 0.5766 0.9902 0.1532  1 Sm 3.24, 2 Tl 3.26-3.53, 6 Pm 3.30-3.47
Tl 0.4234 0.0098 0.8468  1 Sm 3.24, 2 Tl 3.26-3.53, 6 Pm 3.30-3.47
Tl 0.7426 0.7500 0.4852  2 Sm 3.20, 2 Pm 3.27
Sm 0.6690 0.2500 0.3380  4 Tl 3.20-3.24
Sm 0.3310 0.7500 0.6620  4 Tl 3.20-3.24

Properties
formation energy from the elements	-5.700	kcal/mol of atoms
E_tot	-3.80	eV per atom
SG	No. 63
relative energy among the computed polymorphs	140	meV per atom
Fermi-level density of states	8.4	states/eV per cell

Entry 12:
Density functional theory data (GGA-PBE) for an optimized crystal structure of LiPr2Sn9.

Lattice parameters (Å, degrees): 4.7297 4.7297 14.3271 90.00 90.00 90.00
Closest atoms and distances in Å follow each position.
Element x y z (fractional)
Pr 0.0000 0.0000 0.6652  12 Sn 3.35-3.48
Pr 0.0000 0.0000 0.3348  12 Sn 3.35-3.48
Sn 0.5000 0.0000 0.1563  8 Sn 3.26-3.38, 2 Li 3.26, 2 Pr 3.48
Sn 0.5000 0.0000 0.5000  8 Sn 3.34-3.45, 4 Pr 3.35
Sn 0.0000 0.5000 0.8437  8 Sn 3.26-3.38, 2 Li 3.26, 2 Pr 3.48
Sn 0.5000 0.5000 0.3249  4 Pr 3.35, 8 Sn 3.38-3.45
Sn 0.0000 0.5000 0.5000  8 Sn 3.34-3.45, 4 Pr 3.35
Sn 0.0000 0.5000 0.1563  2 Li 3.26, 8 Sn 3.26-3.38, 2 Pr 3.48
Sn 0.5000 0.5000 0.0000  8 Sn 3.26, 4 Li 3.34
Sn 0.5000 0.5000 0.6751  4 Pr 3.35, 8 Sn 3.38-3.45
Sn 0.5000 0.0000 0.8437  2 Li 3.26, 8 Sn 3.26-3.38, 2 Pr 3.48
Li 0.0000 0.0000 0.0000  12 Sn 3.26-3.34

Properties
formation energy from the elements	-8.890	kcal/mol of atoms
E_tot	-4.34	eV per atom
SG	No. 123
Fermi-level density of states	5.1	states/eV per cell

- The lowest Fermi-level density of states belongs to which entry?
  Sb2PdI

- Which value of Fermi-level density of states does entry 4 give?
  19.3 states/eV per cell